AsIr | PBE | relaxed

a = 6.7849 Å, b = 6.7849 Å, c = 6.7849 Å
α = 90.00°, β = 90.00°, γ = 90.00°
With the nearest neighbours (Å) after each atom.
Positions (direct):
As (0.5000, 0.0000, 0.7500)  4 Ir 2.40
Ir (0.0000, 0.5000, 0.2500)  4 As 2.40
Ir (0.0000, 0.5000, 0.7500)  4 As 2.40
Ir (0.2500, 0.0000, 0.5000)  4 As 2.40
As (0.0000, 0.7500, 0.5000)  4 Ir 2.40
Ir (0.7500, 0.0000, 0.5000)  4 As 2.40
As (0.7500, 0.5000, 0.0000)  4 Ir 2.40
As (0.5000, 0.0000, 0.2500)  4 Ir 2.40
As (0.0000, 0.2500, 0.5000)  4 Ir 2.40
Ir (0.5000, 0.2500, 0.0000)  4 As 2.40
As (0.2500, 0.5000, 0.0000)  4 Ir 2.40
Ir (0.5000, 0.7500, 0.0000)  4 As 2.40

Values from the calculation:
Fermi-level density of states = 7.69 states/eV per cell
Calculated formation energy = 0.22 eV per atom